Cs2GeI | GGA-PBE | optimized geometry

abc: 6.588 6.588 6.588
angles: 60.00 60.00 60.00
Element x y z (fractional)
Cs  0.250  0.250  0.250
Cs  0.750  0.750  0.750
Ge  0.000  0.000  0.000
I  0.500  0.500  0.500

raw formation energy: -415 meV/atom
total energy: -9.54 eV per cell
energy relative to the lowest polymorph listed for this composition: 0.00 eV/f.u.